An optimized crystal structure of LiMnZn2Hg, computed with PBE.

The space group is P4/mmm (No. 123) and the conventional cell measures 4.829, 4.829 and 5.050 Å, with angles of 90.00, 90.00 and 90.00 degrees. The asymmetric unit holds Li at (0.000, 0.000, 0.000), Mn at (0.000, 0.000, 0.500), Zn at (0.000, 0.500, 0.500) and Hg at (0.500, 0.500, 0.000).

---

An optimized crystal structure of Li2HgMo, computed with PBE.

The space group is Cmmm (No. 65) and the conventional cell measures 3.309, 4.337 and 9.493 Å, with angles of 90.00, 90.00 and 90.00 degrees. The asymmetric unit holds Li at (0.000, 0.000, 0.246), Hg at (0.000, 0.500, 0.500) and Mo at (0.000, 0.500, 0.000).

---

Per-record E_form, eV per atom: 0.55, 0.21
Per-record V, Å³/atom: 23.5, 17.0